No. 1
NaCoAg2: relaxed, PBE.

a b c (Å): 6.5174 6.5174 6.5174
angles (deg): 90.00 90.00 90.00
Space group Fm-3m (No. 225)
Unique sites:
Na 0.0000 0.0000 0.0000 x4
Co 0.0000 0.0000 0.5000 x4
Ag 0.2500 0.2500 0.2500 x8

## Properties
energy above the most stable polymorph in this dataset = 0 meV/atom
formation enthalpy at 0 K = 463 meV per atom



No. 2
Nb3AlIn: relaxed, PBE.

a b c (Å): 5.0011 5.0011 5.0011
angles (deg): 90.00 90.00 90.00
Space group Pm-3m (No. 221)
Unique sites:
Nb 0.0000 0.0000 0.5000 x3
Al 0.5000 0.5000 0.5000 x1
In 0.0000 0.0000 0.0000 x1

## Properties
energy above the most stable polymorph in this dataset = 843 meV/atom
formation enthalpy at 0 K = 1736 meV per atom



No. 3
PmTmZn3: relaxed, PBE.

a b c (Å): 3.6418 26.8149 4.4999
angles (deg): 90.00 90.00 90.00
Space group Cmcm (No. 63)
Unique sites:
Pm 0.0000 0.0745 0.2500 x4
Tm 0.0000 0.2101 0.7500 x4
Zn 0.0000 0.3244 0.7500 x4
Zn 0.0000 0.3785 0.2500 x4
Zn 0.0000 0.4762 0.2500 x4

## Properties
energy above the most stable polymorph in this dataset = 0 meV/atom
formation enthalpy at 0 K = -330 meV per atom



No. 4
Nd6HC2Br3: relaxed, PBE.

a b c (Å): 6.6420 11.4799 7.7268
angles (deg): 90.00 106.79 90.00
Space group C2/m (No. 12)
Unique sites:
Nd 0.2123 0.0000 0.1875 x4
Nd 0.2362 0.3256 0.1863 x8
H 0.0000 0.5000 0.0000 x2
C 0.0000 0.1660 0.0000 x4
Br 0.0000 0.0000 0.5000 x2
Br 0.0000 0.3322 0.5000 x4

## Properties
uncorrected energy = -130.23 eV per cell



No. 5
AcCeHg: relaxed, PBE.

a b c (Å): 5.3421 5.3421 3.8697
angles (deg): 90.00 90.00 120.00
Space group P3m1 (No. 156)
Unique sites:
Ac 0.0000 0.0000 0.0000 x1
Ce 0.6667 0.3333 0.5986 x1
Hg 0.3333 0.6667 0.3895 x1

## Properties
energy above the most stable polymorph in this dataset = 97 meV/atom
formation enthalpy at 0 K = -77 meV per atom



No. 6
Na3In2O4: relaxed, PBE.

a b c (Å): 11.0496 3.4320 8.3037
angles (deg): 90.00 120.63 90.00
Space group C2/m (No. 12)
Unique sites:
Na 0.0000 0.0000 0.0000 x2
Na 0.2126 0.0000 0.8292 x4
In 0.1012 0.5000 0.3847 x4
O 0.0832 0.5000 0.8666 x4
O 0.2085 0.0000 0.3366 x4

## Properties
E_form (uncorrected) = -1352 meV per atom



No. 7
NaLiMg2Hg4: relaxed, PBE.

a b c (Å): 4.9574 4.9574 24.3792
angles (deg): 90.00 90.00 120.00
Space group R-3m (No. 166, hexagonal axes)
Unique sites:
Na 0.0000 0.0000 0.0000 x3
Li 0.0000 0.0000 0.5000 x3
Mg 0.0000 0.0000 0.2498 x6
Hg 0.0000 0.0000 0.1282 x6
Hg 0.0000 0.0000 0.3820 x6

## Properties
formation enthalpy at 0 K = -256 meV per atom



No. 8
AsC3: relaxed, PBE.

a b c (Å): 5.3121 5.3121 5.3121
angles (deg): 90.00 90.00 90.00
Space group Fm-3m (No. 225)
Unique sites:
As 0.0000 0.0000 0.0000 x4
C 0.0000 0.0000 0.5000 x4
C 0.2500 0.2500 0.2500 x8

## Properties
energy above the most stable polymorph in this dataset = 2569 meV/atom
formation enthalpy at 0 K = 3331 meV per atom



No. 9
Nd6Zn23: relaxed, PBE.

a b c (Å): 12.9385 12.9385 12.9385
angles (deg): 90.00 90.00 90.00
Space group Fm-3m (No. 225)
Unique sites:
Nd 0.0000 0.0000 0.2129 x24
Zn 0.0000 0.0000 0.5000 x4
Zn 0.0000 0.2500 0.2500 x24
Zn 0.1248 0.1248 0.3752 x32
Zn 0.1732 0.1732 0.1732 x32

## Properties
formation enthalpy at 0 K = -299 meV per atom



No. 10
TaBe2Tl: relaxed, PBE.

a b c (Å): 2.9955 2.9955 25.8535
angles (deg): 90.00 90.00 120.00
Space group R-3m (No. 166, hexagonal axes)
Unique sites:
Ta 0.0000 0.0000 0.0000 x3
Be 0.0000 0.0000 0.2554 x6
Tl 0.0000 0.0000 0.5000 x3

## Properties
energy above the most stable polymorph in this dataset = 325 meV/atom
formation enthalpy at 0 K = 682 meV per atom



No. 11
TbCe3Pr2Se6: relaxed, PBE.

a b c (Å): 7.2781 12.6120 7.3036
angles (deg): 90.00 109.43 90.00
Space group C2/m (No. 12)
Unique sites:
Tb 0.0000 0.0000 0.0000 x2
Ce 0.0000 0.1705 0.5000 x4
Ce 0.0000 0.5000 0.5000 x2
Pr 0.0000 0.3338 0.0000 x4
Se 0.2403 0.0000 0.7477 x4
Se 0.2449 0.1625 0.2483 x8

## Properties
E_form (uncorrected) = -1826 meV per atom



No. 12
NaPrDyTl: relaxed, PBE.

a b c (Å): 7.7861 7.7861 7.7861
angles (deg): 90.00 90.00 90.00
Space group F-43m (No. 216)
Unique sites:
Na 0.0000 0.0000 0.0000 x4
Pr 0.2500 0.2500 0.2500 x4
Dy 0.2500 0.2500 0.7500 x4
Tl 0.0000 0.0000 0.5000 x4

## Properties
formation enthalpy at 0 K = -74 meV per atom